DFT (GGA-PBE) results for Sc2TaRu after structural relaxation.

```
Sc2TaRu
1.0
4.6808 -0.0001 0.0000
0.0200 4.6807 0.0000
-2.3504 -2.3403 3.3028
Ru Ta Sc
1 1 2
Direct
0.7500 0.2500 0.5000
0.5000 0.5000 0.0000
0.0000 0.0000 0.0000
0.2500 0.7500 0.5000
```

Results
- Energy above the lowest structure with this stoichiometry: 18.6 kJ per mole of atoms
- V: 18.09 A^3/atom
- DFT formation energy: -0.067 eV per atom


DFT (GGA-PBE) results for ScTaTlRu2 after structural relaxation.

```
ScTaTlRu2
1.0
4.7192 0.0000 0.0000
0.0000 5.2043 0.0000
0.0000 0.0000 4.7192
Tl Ru Ta Sc
1 2 1 1
Direct
0.5000 0.5000 0.5000
0.5000 0.0000 0.0000
0.0000 0.0000 0.5000
0.0000 0.0000 0.0000
0.0000 0.5000 0.0000
```

Results
- V: 23.18 A^3/atom
- DFT formation energy: 0.960 eV per atom


DFT (GGA-PBE) results for ScTa2VRu after structural relaxation.

```
ScTa2VRu
1.0
4.7117 0.0000 0.0000
0.0000 4.4368 0.0000
0.0000 0.0000 4.7117
Ta V Ru Sc
2 1 1 1
Direct
0.0000 0.0000 0.5000
0.5000 0.0000 0.0000
0.5000 0.5000 0.5000
0.0000 0.5000 0.0000
0.0000 0.0000 0.0000
```

Results
- V: 19.70 A^3/atom
- DFT formation energy: 1.855 eV per atom


DFT (GGA-PBE) results for ScTaRuW2 after structural relaxation.

```
ScTaRuW2
1.0
-0.6081 2.3121 -3.8342
-1.6254 -3.8452 -2.0610
-4.1903 1.0694 1.3094
Ru W Ta Sc
1 2 1 1
Direct
0.5000 0.5000 0.5000
0.5000 0.0000 0.0000
0.0000 0.0000 0.5000
0.0000 0.5000 0.0000
0.0000 0.0000 0.0000
```

Results
- V: 19.01 A^3/atom
- DFT formation energy: 2.382 eV per atom


DFT (GGA-PBE) results for Tb2ScRu after structural relaxation.

```
Tb2ScRu
1.0
3.4375 0.0000 0.0000
0.0000 3.4375 0.0000
0.0000 0.0000 8.3754
Tb Sc Ru
2 1 1
Direct
0.0000 0.0000 0.1986
0.0000 0.0000 0.8014
0.5000 0.5000 0.5000
0.5000 0.5000 0.0000
```

Results
- Energy above the lowest structure with this stoichiometry: 16.8 kJ per mole of atoms
- V: 24.74 A^3/atom
- DFT formation energy: -0.147 eV per atom


DFT (GGA-PBE) results for TbSc2Ru2 after structural relaxation.

```
TbSc2Ru2
1.0
3.2675 0.0000 0.0000
0.0000 3.2575 0.6172
0.0000 -0.1464 9.6774
Ru Tb Sc
2 1 2
Direct
0.5000 0.5982 0.8037
0.5000 0.4018 0.1963
0.0000 0.0000 0.0000
0.0000 0.1713 0.6575
0.0000 0.8287 0.3425
```

Results
- V: 20.66 A^3/atom
- DFT formation energy: -0.369 eV per atom